No. 1
Here is a relaxed NpReSe2 crystal from Alexandria via LeMat-Bulk. Energies are from GGA-PBE.

POSCAR file:
```
NpReSe2
1.0
1.551 0.896 9.481
-1.551 0.896 9.481
0.000 -1.791 9.481
Np Re Se
1 1 2
Direct
0.000 0.000 0.000
0.500 0.500 0.500
0.103 0.103 0.103
0.897 0.897 0.897
```

V	79.0	Å³/cell
magnetization	0.95	μB per atom
raw total energy	-31.733	eV per cell
formation energy from raw total energies	60	kJ/mol of formula units
space-group type	R-3m
DOS(E_F)	3.311	states/eV per cell

=====

No. 2
Here is a relaxed PmBi2Au9 crystal from Alexandria via LeMat-Bulk. Energies are from GGA-PBE.

POSCAR file:
```
PmBi2Au9
1.0
2.814 1.625 9.490
-2.814 1.625 9.490
0.000 -3.250 9.490
Pm Bi Au
1 2 9
Direct
0.000 0.000 0.000
0.146 0.146 0.146
0.854 0.854 0.854
0.081 0.584 0.584
0.333 0.333 0.333
0.416 0.416 0.919
0.416 0.919 0.416
0.500 0.500 0.500
0.584 0.081 0.584
0.584 0.584 0.081
0.667 0.667 0.667
0.919 0.416 0.416
```

V	260.4	Å³/cell
magnetization	0.00	μB per atom
raw total energy	-44.652	eV per cell
space-group type	R-3m
DOS(E_F)	6.523	states/eV per cell
energy of formation from the pure elements	-0.220	eV/atom

=====

No. 3
Here is a relaxed Pm2Nd4ErTm2 crystal from Alexandria via LeMat-Bulk. Energies are from GGA-PBE.

POSCAR file:
```
Pm2Nd4ErTm2
1.0
7.686 -2.561 0.000
7.686 2.561 0.000
-2.566 0.000 7.625
Pm Nd Er Tm
2 4 1 2
Direct
0.112 0.112 0.170
0.888 0.888 0.830
0.222 0.222 0.830
0.445 0.445 0.170
0.555 0.555 0.830
0.778 0.778 0.170
0.000 0.000 0.500
0.333 0.333 0.500
0.667 0.667 0.500
```

V	300.1	Å³/cell
magnetization	0.00	μB per atom
raw total energy	-41.863	eV per cell
space-group type	C2/m
DOS(E_F)	14.432	states/eV per cell
energy of formation from the pure elements	0.024	eV/atom

=====

No. 4
Here is a relaxed YZn2CrS crystal from Alexandria via LeMat-Bulk. Energies are from GGA-PBE.

POSCAR file:
```
YZn2CrS
1.0
5.462 0.000 0.000
0.000 5.462 0.000
0.000 0.000 5.511
Y Zn Cr S
1 2 1 1
Direct
0.000 0.000 0.000
0.000 0.500 0.000
0.500 0.000 0.000
0.000 0.000 0.500
0.500 0.500 0.500
```

V	164.4	Å³/cell
magnetization	0.96	μB per atom
raw total energy	-15.943	eV per cell
formation energy from raw total energies	658	kJ/mol of formula units
space-group type	P4/mmm
DOS(E_F)	3.505	states/eV per cell

=====

No. 5
Here is a relaxed Re2OsAu crystal from Alexandria via LeMat-Bulk. Energies are from GGA-PBE.

POSCAR file:
```
Re2OsAu
1.0
-1.381 2.311 5.119
1.381 -2.311 5.119
1.381 2.311 -5.119
Re Os Au
2 1 1
Direct
0.000 0.000 0.000
0.775 0.275 0.500
0.566 0.566 0.000
0.309 0.809 0.500
```

V	65.4	Å³/cell
relative energy among the computed polymorphs	292.2	meV per atom
magnetization	0.00	μB per atom
raw total energy	-37.229	eV per cell
space-group type	Imm2
DOS(E_F)	2.571	states/eV per cell
energy of formation from the pure elements	0.544	eV/atom

=====

No. 6
Here is a relaxed Rb3CuRh crystal from Alexandria via LeMat-Bulk. Energies are from GGA-PBE.

POSCAR file:
```
Rb3CuRh
1.0
6.198 0.000 0.000
0.000 6.198 0.000
0.000 0.000 6.198
Rb Cu Rh
3 1 1
Direct
0.000 0.000 0.500
0.000 0.500 0.000
0.500 0.000 0.000
0.500 0.500 0.500
0.000 0.000 0.000
```

V	238.1	Å³/cell
relative energy among the computed polymorphs	0.0	meV per atom
magnetization	0.14	μB per atom
raw total energy	-10.655	eV per cell
space-group type	Pm-3m
DOS(E_F)	3.335	states/eV per cell
energy of formation from the pure elements	0.739	eV/atom

=====

No. 7
Here is a relaxed Rb3Er3NpTe8 crystal from Alexandria via LeMat-Bulk. Energies are from GGA-PBE.

POSCAR file:
```
Rb3Er3NpTe8
1.0
4.447 2.567 8.716
-4.447 2.567 8.716
0.000 -5.135 8.716
Rb Er Np Te
3 3 1 8
Direct
0.000 0.500 0.500
0.500 0.000 0.500
0.500 0.500 0.000
0.000 0.000 0.500
0.000 0.500 0.000
0.500 0.000 0.000
0.500 0.500 0.500
0.231 0.733 0.733
0.232 0.232 0.232
0.267 0.267 0.769
0.267 0.769 0.267
0.733 0.231 0.733
0.733 0.733 0.231
0.768 0.768 0.768
0.769 0.267 0.267
```

V	597.0	Å³/cell
magnetization	0.20	μB per atom
raw total energy	-72.887	eV per cell
formation energy from raw total energies	-1758	kJ/mol of formula units
space-group type	R-3m
DOS(E_F)	3.524	states/eV per cell

=====

No. 8
Here is a relaxed PrFe4Ge12 crystal from Alexandria via LeMat-Bulk. Energies are from GGA-PBE.

POSCAR file:
```
PrFe4Ge12
1.0
-4.246 4.246 4.246
4.246 -4.246 4.246
4.246 4.246 -4.246
Pr Fe Ge
1 4 12
Direct
0.000 0.000 0.000
0.000 0.000 0.500
0.000 0.500 0.000
0.500 0.000 0.000
0.500 0.500 0.500
0.169 0.343 0.512
0.169 0.657 0.826
0.174 0.831 0.343
0.343 0.174 0.831
0.343 0.512 0.169
0.488 0.831 0.657
0.512 0.169 0.343
0.657 0.488 0.831
0.657 0.826 0.169
0.826 0.169 0.657
0.831 0.343 0.174
0.831 0.657 0.488
```

V	306.2	Å³/cell
magnetization	0.28	μB per atom
raw total energy	-93.769	eV per cell
space-group type	Im-3
DOS(E_F)	16.924	states/eV per cell
energy of formation from the pure elements	0.016	eV/atom

=====

No. 9
Here is a relaxed Y2Cd3Pd crystal from Alexandria via LeMat-Bulk. Energies are from GGA-PBE.

POSCAR file:
```
Y2Cd3Pd
1.0
3.465 0.000 0.000
0.000 4.838 0.000
0.000 0.000 8.436
Y Cd Pd
2 3 1
Direct
0.000 0.000 0.000
0.000 0.500 0.438
0.500 0.000 0.626
0.500 0.500 0.128
0.500 0.500 0.793
0.500 0.000 0.296
```

V	141.4	Å³/cell
magnetization	0.00	μB per atom
raw total energy	-23.627	eV per cell
space-group type	Pmm2
DOS(E_F)	3.683	states/eV per cell
energy of formation from the pure elements	-0.460	eV/atom

=====

No. 10
Here is a relaxed BaSrScSb2 crystal from Alexandria via LeMat-Bulk. Energies are from GGA-PBE.

POSCAR file:
```
BaSrScSb2
1.0
5.991 0.000 0.000
0.000 5.991 0.000
0.000 0.000 6.021
Ba Sr Sc Sb
1 1 1 2
Direct
0.000 0.000 0.000
0.000 0.000 0.500
0.500 0.500 0.000
0.000 0.500 0.500
0.500 0.000 0.500
```

V	216.1	Å³/cell
magnetization	0.33	μB per atom
raw total energy	-15.278	eV per cell
formation energy from raw total energies	280	kJ/mol of formula units
space-group type	P4/mmm
DOS(E_F)	5.517	states/eV per cell

=====

No. 11
Here is a relaxed YScHg4 crystal from Alexandria via LeMat-Bulk. Energies are from GGA-PBE.

POSCAR file:
```
YScHg4
1.0
3.854 0.000 0.000
0.000 5.099 0.000
-1.935 0.000 7.199
Y Sc Hg
1 1 4
Direct
0.000 0.000 0.000
0.204 0.500 0.411
0.331 0.000 0.662
0.541 0.500 0.084
0.670 0.000 0.341
0.866 0.500 0.733
```

V	141.5	Å³/cell
relative energy among the computed polymorphs	0.0	meV per atom
magnetization	0.00	μB per atom
raw total energy	-16.037	eV per cell
space-group type	Pm
DOS(E_F)	3.173	states/eV per cell
energy of formation from the pure elements	-0.339	eV/atom

=====

No. 12
Here is a relaxed Na2CeNiH8 crystal from Alexandria via LeMat-Bulk. Energies are from GGA-PBE.

POSCAR file:
```
Na2CeNiH8
1.0
4.662 0.000 0.000
-2.331 4.038 0.000
0.000 0.000 6.302
Na Ce Ni H
2 1 1 8
Direct
0.333 0.667 0.368
0.667 0.333 0.632
0.000 0.000 0.000
0.000 0.000 0.500
0.149 0.297 0.659
0.149 0.851 0.659
0.297 0.149 0.341
0.333 0.667 0.020
0.667 0.333 0.980
0.703 0.851 0.659
0.851 0.149 0.341
0.851 0.703 0.341
```

V	118.6	Å³/cell
magnetization	0.12	μB per atom
raw total energy	-43.649	eV per cell
space-group type	P-3m1
DOS(E_F)	6.335	states/eV per cell

=====

No. 13
Here is a relaxed TbHo3As4 crystal from Alexandria via LeMat-Bulk. Energies are from GGA-PBE.

POSCAR file:
```
TbHo3As4
1.0
5.808 0.000 0.000
0.000 5.808 0.000
0.000 0.000 5.808
Tb Ho As
1 3 4
Direct
0.000 0.000 0.000
0.000 0.500 0.500
0.500 0.000 0.500
0.500 0.500 0.000
0.000 0.000 0.500
0.000 0.500 0.000
0.500 0.000 0.000
0.500 0.500 0.500
```

V	196.0	Å³/cell
relative energy among the computed polymorphs	0.0	meV per atom
magnetization	0.00	μB per atom
raw total energy	-49.244	eV per cell
space-group type	Pm-3m
DOS(E_F)	0.738	states/eV per cell
energy of formation from the pure elements	-1.535	eV/atom

=====

No. 14
Here is a relaxed Sc2Co2W crystal from Alexandria via LeMat-Bulk. Energies are from GGA-PBE.

POSCAR file:
```
Sc2Co2W
1.0
-1.586 1.586 8.487
1.586 -1.586 8.487
1.586 1.586 -8.487
Sc Co W
2 2 1
Direct
0.115 0.115 0.000
0.885 0.885 0.000
0.250 0.750 0.500
0.750 0.250 0.500
0.500 0.500 0.000
```

V	85.4	Å³/cell
relative energy among the computed polymorphs	420.3	meV per atom
magnetization	0.47	μB per atom
raw total energy	-38.284	eV per cell
space-group type	I4/mmm
DOS(E_F)	6.422	states/eV per cell
energy of formation from the pure elements	0.309	eV/atom

=====

No. 15
Here is a relaxed CaLaPb2 crystal from Alexandria via LeMat-Bulk. Energies are from GGA-PBE.

POSCAR file:
```
CaLaPb2
1.0
4.672 0.000 0.000
0.000 4.672 0.000
0.000 0.000 6.578
Ca La Pb
1 1 2
Direct
0.000 0.000 0.000
0.500 0.500 0.498
0.000 0.000 0.500
0.500 0.500 0.997
```

V	143.6	Å³/cell
magnetization	0.00	μB per atom
raw total energy	-15.487	eV per cell
space-group type	P4mm
DOS(E_F)	4.951	states/eV per cell
energy of formation from the pure elements	-0.285	eV/atom

=====

No. 16
Here is a relaxed Er7MgZn4 crystal from Alexandria via LeMat-Bulk. Energies are from GGA-PBE.

POSCAR file:
```
Er7MgZn4
1.0
6.909 -2.771 0.000
6.909 2.771 0.000
-4.762 0.000 7.803
Er Mg Zn
7 1 4
Direct
0.000 0.000 0.000
0.229 0.229 0.686
0.304 0.304 0.122
0.424 0.424 0.587
0.576 0.576 0.413
0.696 0.696 0.878
0.771 0.771 0.314
0.500 0.500 0.000
0.028 0.028 0.694
0.182 0.182 0.339
0.818 0.818 0.661
0.972 0.972 0.306
```

V	298.8	Å³/cell
magnetization	0.00	μB per atom
raw total energy	-39.012	eV per cell
space-group type	C2/m
DOS(E_F)	11.252	states/eV per cell
energy of formation from the pure elements	-0.032	eV/atom

=====

No. 17
Here is a relaxed CuNi2Ir crystal from Alexandria via LeMat-Bulk. Energies are from GGA-PBE.

POSCAR file:
```
CuNi2Ir
1.0
4.256 -1.312 0.000
4.256 1.312 0.000
-0.810 0.000 4.387
Cu Ni Ir
1 2 1
Direct
0.000 0.000 0.000
0.248 0.248 0.749
0.752 0.752 0.251
0.500 0.500 0.500
```

V	49.0	Å³/cell
magnetization	0.39	μB per atom
raw total energy	-24.195	eV per cell
space-group type	C2/m
DOS(E_F)	5.600	states/eV per cell
energy of formation from the pure elements	0.081	eV/atom

=====

No. 18
Here is a relaxed Tb6PdRu2 crystal from Alexandria via LeMat-Bulk. Energies are from GGA-PBE.

POSCAR file:
```
Tb6PdRu2
1.0
6.628 0.000 0.000
0.000 7.402 0.000
-6.337 0.000 9.578
Tb Pd Ru
12 2 4
Direct
0.073 0.057 0.239
0.073 0.443 0.739
0.227 0.676 0.076
0.227 0.824 0.576
0.391 0.166 0.069
0.391 0.334 0.569
0.609 0.666 0.431
0.609 0.834 0.931
0.773 0.176 0.424
0.773 0.324 0.924
0.927 0.557 0.261
0.927 0.943 0.761
0.500 0.000 0.500
0.500 0.500 0.000
0.300 0.116 0.764
0.300 0.384 0.264
0.700 0.616 0.736
0.700 0.884 0.236
```

V	469.9	Å³/cell
relative energy among the computed polymorphs	54.0	meV per atom
magnetization	0.00	μB per atom
raw total energy	-109.427	eV per cell
space-group type	P2_1/c
DOS(E_F)	13.300	states/eV per cell
energy of formation from the pure elements	-0.354	eV/atom

=====

No. 19
Here is a relaxed CaAcEuY crystal from Alexandria via LeMat-Bulk. Energies are from GGA-PBE.

POSCAR file:
```
CaAcEuY
1.0
0.000 4.305 4.305
4.305 0.000 4.305
4.305 4.305 0.000
Ca Ac Eu Y
1 1 1 1
Direct
0.000 0.000 0.000
0.750 0.750 0.750
0.250 0.250 0.250
0.500 0.500 0.500
```

V	159.5	Å³/cell
magnetization	1.82	μB per atom
raw total energy	-22.424	eV per cell
space-group type	F-43m
DOS(E_F)	5.262	states/eV per cell
energy of formation from the pure elements	0.106	eV/atom

=====

No. 20
Here is a relaxed CaZn7Co5 crystal from Alexandria via LeMat-Bulk. Energies are from GGA-PBE.

POSCAR file:
```
CaZn7Co5
1.0
-2.481 4.284 4.318
2.481 -4.284 4.318
2.481 4.284 -4.318
Ca Zn Co
1 7 5
Direct
0.000 0.000 0.000
0.210 0.495 0.715
0.332 0.332 0.000
0.332 0.988 0.343
0.645 0.988 0.657
0.661 0.661 0.000
0.764 0.264 0.500
0.779 0.495 0.285
0.233 0.733 0.500
0.486 0.487 0.491
0.486 0.994 0.999
0.995 0.487 0.001
0.995 0.994 0.509
```

V	183.6	Å³/cell
magnetization	0.43	μB per atom
raw total energy	-47.746	eV per cell
space-group type	Imm2
DOS(E_F)	7.802	states/eV per cell
energy of formation from the pure elements	-0.100	eV/atom